Record 1
Density functional theory data (PBE-GGA) for La8Hg2Ru3 after structural relaxation.

## Properties
Calculated formation energy in eV per atom: -0.270
Total DFT energy (no corrections) in eV/cell: -71.366

Cell lengths 8.916, 4.729, 10.126 Å; angles 90.00, 101.53, 90.00 degrees
Space group P2/m (No. 10)
Unique sites:
La1 0.028 0.000 0.333 [2 per cell]
La2 0.169 0.500 0.917 [2 per cell]
La3 0.314 0.500 0.609 [2 per cell]
La4 0.420 0.000 0.146 [2 per cell]
Hg1 0.249 0.500 0.271 [2 per cell]
Ru1 0.000 0.500 0.500 [1 per cell]
Ru2 0.288 0.000 0.823 [2 per cell]



Record 2
Density functional theory data (PBE-GGA) for CdCo after structural relaxation.

## Properties
Calculated formation energy in eV per atom: 0.857
Total DFT energy (no corrections) in eV/cell: -25.231

Cell lengths 5.246, 5.246, 5.246 Å; angles 90.00, 90.00, 90.00 degrees
Space group Fm-3m (No. 225)
Unique sites:
Cd1 0.000 0.000 0.000 [4 per cell]
Co1 0.000 0.000 0.500 [4 per cell]



Record 3
Density functional theory data (PBE-GGA) for LiSnHAu2 after structural relaxation.

## Properties
Total DFT energy (no corrections) in eV/cell: -16.278

Cell lengths 4.298, 4.298, 4.186 Å; angles 90.00, 90.00, 90.00 degrees
Space group P4/mmm (No. 123)
Unique sites:
Li1 0.000 0.000 0.000 [1 per cell]
Sn1 0.500 0.500 0.000 [1 per cell]
H1 0.000 0.000 0.500 [1 per cell]
Au1 0.000 0.500 0.500 [2 per cell]



Record 4
Density functional theory data (PBE-GGA) for Zr5Cr3H12 after structural relaxation.

## Properties
Total DFT energy (no corrections) in eV/cell: -912.693

Cell lengths 11.564, 11.564, 11.564 Å; angles 90.00, 90.00, 90.00 degrees
Space group Ia-3d (No. 230)
Unique sites:
Zr1 0.000 0.000 0.000 [16 per cell]
Zr2 0.000 0.250 0.375 [24 per cell]
Cr1 0.000 0.250 0.125 [24 per cell]
H1 0.012 0.061 0.164 [96 per cell]



Record 5
Density functional theory data (PBE-GGA) for TaIrPt2 after structural relaxation.

## Properties
Calculated formation energy in eV per atom: 0.010
Total DFT energy (no corrections) in eV/cell: -131.017

Cell lengths 7.217, 7.217, 5.363 Å; angles 90.00, 90.00, 90.00 degrees
Space group I-42d (No. 122)
Unique sites:
Ta1 0.000 0.000 0.000 [4 per cell]
Ir1 0.000 0.000 0.500 [4 per cell]
Pt1 0.237 0.750 0.125 [8 per cell]



Record 6
Density functional theory data (PBE-GGA) for TePPt3 after structural relaxation.

## Properties
Formation energy without anion corrections in eV/atom: 0.2038
Total DFT energy (no corrections) in eV/cell: -25.655

Cell lengths 4.599, 4.599, 4.599 Å; angles 90.00, 90.00, 90.00 degrees
Space group Pm-3m (No. 221)
Unique sites:
Te1 0.000 0.000 0.000 [1 per cell]
P1 0.500 0.500 0.500 [1 per cell]
Pt1 0.000 0.500 0.500 [3 per cell]



Record 7
Density functional theory data (PBE-GGA) for PmSmYHo3 after structural relaxation.

## Properties
Calculated formation energy in eV per atom: 0.121
Total DFT energy (no corrections) in eV/cell: -115.759

Cell lengths 5.839, 11.484, 11.595 Å; angles 90.00, 90.00, 90.00 degrees
Space group Cmcm (No. 63)
Unique sites:
Pm1 0.000 0.021 0.250 [4 per cell]
Sm1 0.000 0.500 0.000 [4 per cell]
Y1 0.000 0.329 0.250 [4 per cell]
Ho1 0.000 0.174 0.518 [8 per cell]
Ho2 0.000 0.347 0.750 [4 per cell]



Record 8
Density functional theory data (PBE-GGA) for AlTlTe after structural relaxation.

## Properties
Formation energy without anion corrections in eV/atom: 0.1060
Total DFT energy (no corrections) in eV/cell: -8.933

Cell lengths 5.4912, 5.4912, 3.1514 Å; angles 90.00, 90.00, 120.00 degrees
Space group P3m1 (No. 156)
Unique sites:
Al1 0.0000 0.0000 0.0000 [1 per cell]
Tl1 0.6667 0.3333 0.5037 [1 per cell]
Te1 0.3333 0.6667 0.0002 [1 per cell]



> Look up the total DFT energy (no corrections) of the fifth one.

-131.017 eV/cell



> Among the records above, which one has the lowest total DFT energy (no corrections)?

Zr5Cr3H12